Entry 1:
# PmGePO

A geometry-optimized PmGePO structure (GGA-PBE, Alexandria via LeMat-Bulk).

Calculated values
As for the space-group type: No. 129. The density of states at the Fermi level is 0.19 states/eV/atom. The calculation puts the mass density at 5.90 g/cm³. Its formation energy (no corrections) is -1.428 eV/atom.

extended XYZ file:
```
8
Lattice="4.396 0.000 0.000 0.000 4.396 0.000 0.000 0.000 7.704" Properties=species:S:1:pos:R:3 pbc="T T T"
Pm 1.099 1.099 0.919
Pm 3.297 3.297 6.785
Ge 1.099 3.297 3.852
Ge 3.297 1.099 3.852
P 1.099 1.099 5.084
P 3.297 3.297 2.620
O 1.099 3.297 0.000
O 3.297 1.099 0.000
```

***

Entry 2:
# Bi3RuCl

A geometry-optimized Bi3RuCl structure (GGA-PBE, Alexandria via LeMat-Bulk).

Calculated values
As for the space-group type: No. 221. For the distance to the lowest polymorph of the same formula, the calculation gives 956 meV/atom. The density of states at the Fermi level is 0.77 states/eV/atom. The calculation puts the mass density at 8.50 g/cm³. Its formation energy (no corrections) is 1.266 eV/atom.

extended XYZ file:
```
5
Lattice="5.303 0.000 0.000 0.000 5.303 0.000 0.000 0.000 5.303" Properties=species:S:1:pos:R:3 pbc="T T T"
Bi 0.000 0.000 2.652
Bi 0.000 2.652 0.000
Bi 2.652 0.000 0.000
Ru 2.652 2.652 2.652
Cl 0.000 0.000 0.000
```